# La5Pr4Cd2, optimized geometry, DFT GGA-PBE
data_La5Pr4Cd2
_space_group_name_H-M_alt 'P 1 2/m 1'
_space_group_IT_number 10
_cell_length_a 8.8707
_cell_length_b 3.6246
_cell_length_c 11.6089
_cell_angle_alpha 90.00
_cell_angle_beta 95.86
_cell_angle_gamma 90.00
loop_
_space_group_symop_operation_xyz
'x,y,z'
'-x,-y,-z'
'-x,y,-z'
'x,-y,z'
loop_
_atom_site_label
_atom_site_fract_x
_atom_site_fract_y
_atom_site_fract_z
La1 0.0000 0.0000 0.0000
La2 0.0461 0.0000 0.2982
La3 0.3040 0.0000 0.8403
Pr1 0.2464 0.5000 0.5509
Pr2 0.3422 0.5000 0.1341
Cd1 0.4388 0.0000 0.3697
# formation enthalpy at 0 K: -0.43 eV/f.u.
# E_tot: -4.18 eV per atom